## Y2HgPt (PBEsol)

Data for a relaxed structure of Y2HgPt.

Unit cell a=3.574 b=4.605 c=6.378 alpha=111.16 beta=106.27 gamma=90.00
Atoms (fractional coordinates):
1 Pt 0.258 0.758 0.516
2 Y 0.958 0.958 0.916
3 Y 0.740 0.240 0.480
4 Hg 0.544 0.544 0.088

Output
The space group is No. 44. As for the size of the total moment: 0.0 μB/f.u. Its uncorrected energy is -0.221 Ha/atom.

## Co2CuOs (PBEsol)

Data for a relaxed structure of Co2CuOs.

Unit cell a=2.520 b=2.520 c=8.413 alpha=90.00 beta=90.00 gamma=115.33
Atoms (fractional coordinates):
1 Co 0.500 0.500 0.757
2 Co 0.000 0.000 0.987
3 Os 0.500 0.500 0.244
4 Cu 0.000 0.000 0.512

Output
The space group is No. 35. As for the size of the total moment: 3.6 μB/f.u. Its uncorrected energy is -0.280 Ha/atom.

## ZnSb2Se (PBEsol)

Data for a relaxed structure of ZnSb2Se.

Unit cell a=3.955 b=3.955 c=7.214 alpha=74.09 beta=74.09 gamma=60.00
Atoms (fractional coordinates):
1 Zn 0.000 0.000 0.000
2 Se 0.500 0.500 0.500
3 Sb 0.741 0.741 0.777
4 Sb 0.259 0.259 0.223

Output
The raw formation energy is 30 meV per atom. The space group is No. 166. For the excess energy over the best structure of this formula in the dataset, the calculation gives 0.176 eV per atom. As for the size of the total moment: 0.0 μB/f.u.

## Ca2HgSb (PBEsol)

Data for a relaxed structure of Ca2HgSb.

Unit cell a=4.230 b=4.650 c=6.382 alpha=111.36 beta=109.35 gamma=90.00
Atoms (fractional coordinates):
1 Sb 0.227 0.727 0.454
2 Ca 0.993 0.993 0.987
3 Ca 0.758 0.258 0.516
4 Hg 0.522 0.522 0.044

Output
The raw formation energy is -677 meV per atom. The space group is No. 44. For the excess energy over the best structure of this formula in the dataset, the calculation gives 0.158 eV per atom. As for the size of the total moment: 0.0 μB/f.u.

## CaMgI2N (PBEsol)

Data for a relaxed structure of CaMgI2N.

Unit cell a=4.425 b=5.994 c=5.994 alpha=90.00 beta=90.00 gamma=90.00
Atoms (fractional coordinates):
1 I 0.000 0.500 0.000
2 I 0.000 0.000 0.500
3 N 0.500 0.000 0.000
4 Mg 0.500 0.500 0.500
5 Ca 0.000 0.000 0.000

Output
The raw formation energy is 54 meV per atom. The space group is No. 123. As for the size of the total moment: 1.7 μB/f.u.

## Mg2Zn (PBEsol)

Data for a relaxed structure of Mg2Zn.

Unit cell a=5.255 b=5.255 c=5.677 alpha=62.43 beta=62.43 gamma=60.00
Atoms (fractional coordinates):
1 Mg 0.500 0.500 0.500
2 Mg 0.673 0.000 0.000
3 Mg 0.000 0.327 0.000
4 Mg 0.327 0.673 0.000
5 Zn 0.834 0.834 0.497
6 Zn 0.166 0.166 0.503

Output
The space group is No. 155. As for the size of the total moment: 0.0 μB/f.u. Its uncorrected energy is -0.061 Ha/atom.

- What is the formula in the fourth record?
  Ca2HgSb

- What is the formula in the fourth record?
  Ca2HgSb

What did the first record say?
## Y2HgPt (PBEsol)

Data for a relaxed structure of Y2HgPt.

Unit cell a=3.574 b=4.605 c=6.378 alpha=111.16 beta=106.27 gamma=90.00
Atoms (fractional coordinates):
1 Pt 0.258 0.758 0.516
2 Y 0.958 0.958 0.916
3 Y 0.740 0.240 0.480
4 Hg 0.544 0.544 0.088

Output
The space group is No. 44. As for the size of the total moment: 0.0 μB/f.u. Its uncorrected energy is -0.221 Ha/atom.